Computed, not measured: an optimized crystal structure of Sr2NiPt at the GGA-PBEsol level of DFT.

Geometry as CIF:
```
data_Sr2NiPt
_chemical_formula_sum 'Sr2 Ni1 Pt1'
_cell_length_a 4.247
_cell_length_b 4.247
_cell_length_c 5.847
_cell_angle_alpha 111.29
_cell_angle_beta 111.29
_cell_angle_gamma 90.00
_space_group_name_H-M_alt 'P 1'
_space_group_IT_number 1
_space_group_name_Hall 'P 1'
loop_
_atom_site_label
_atom_site_type_symbol
_atom_site_fract_x
_atom_site_fract_y
_atom_site_fract_z
Sr1 Sr 0.000 0.000 0.000
Sr2 Sr 0.750 0.250 0.500
Pt1 Pt 0.250 0.750 0.500
Ni1 Ni 0.500 0.500 0.000
```

Calculated values
Total DFT energy (no corrections) (eV/atom): -4.250
Magnetic moment (Bohr magnetons per cell): 0.00
Density (g/cm³): 7.87

=====

Computed, not measured: an optimized crystal structure of TaNiPt at the GGA-PBEsol level of DFT.

Geometry as CIF:
```
data_TaNiPt
_chemical_formula_sum 'Ta1 Ni1 Pt1'
_cell_length_a 3.256
_cell_length_b 3.256
_cell_length_c 4.682
_cell_angle_alpha 110.35
_cell_angle_beta 110.35
_cell_angle_gamma 90.00
_space_group_name_H-M_alt 'P 1'
_space_group_IT_number 1
_space_group_name_Hall 'P 1'
loop_
_atom_site_label
_atom_site_type_symbol
_atom_site_fract_x
_atom_site_fract_y
_atom_site_fract_z
Ni1 Ni 0.995 0.995 0.990
Pt1 Pt 0.667 0.667 0.334
Ta1 Ta 0.338 0.338 0.676
```

Calculated values
Total DFT energy (no corrections) (eV/atom): -9.124
Magnetic moment (Bohr magnetons per cell): 0.00
Density (g/cm³): 16.71

=====

Computed, not measured: an optimized crystal structure of TaNi2Pt at the GGA-PBEsol level of DFT.

Geometry as CIF:
```
data_TaNi2Pt
_chemical_formula_sum 'Ta1 Ni2 Pt1'
_cell_length_a 3.692
_cell_length_b 3.692
_cell_length_c 4.654
_cell_angle_alpha 113.37
_cell_angle_beta 113.37
_cell_angle_gamma 90.00
_space_group_name_H-M_alt 'P 1'
_space_group_IT_number 1
_space_group_name_Hall 'P 1'
loop_
_atom_site_label
_atom_site_type_symbol
_atom_site_fract_x
_atom_site_fract_y
_atom_site_fract_z
Ni1 Ni 0.000 0.000 0.000
Ni2 Ni 0.750 0.250 0.500
Pt1 Pt 0.500 0.500 0.000
Ta1 Ta 0.250 0.750 0.500
```

Calculated values
Total DFT energy (no corrections) (eV/atom): -8.504
Magnetic moment (Bohr magnetons per cell): 0.00
Density (g/cm³): 15.60

=====

Computed, not measured: an optimized crystal structure of TaNi3Pt at the GGA-PBEsol level of DFT.

Geometry as CIF:
```
data_TaNi3Pt
_chemical_formula_sum 'Ta1 Ni3 Pt1'
_cell_length_a 4.397
_cell_length_b 4.397
_cell_length_c 4.397
_cell_angle_alpha 90.00
_cell_angle_beta 90.00
_cell_angle_gamma 90.00
_space_group_name_H-M_alt 'P 1'
_space_group_IT_number 1
_space_group_name_Hall 'P 1'
loop_
_atom_site_label
_atom_site_type_symbol
_atom_site_fract_x
_atom_site_fract_y
_atom_site_fract_z
Pt1 Pt 0.000 0.000 0.000
Ta1 Ta 0.500 0.500 0.500
Ni1 Ni 0.000 0.000 0.500
Ni2 Ni 0.000 0.500 0.000
Ni3 Ni 0.500 0.000 0.000
```

Calculated values
Total DFT energy (no corrections) (eV/atom): -6.115
Magnetic moment (Bohr magnetons per cell): 0.00
Density (g/cm³): 10.78